A plane-wave DFT calculation with PBE was carried out for crystalline LiSm3Ru at its relaxed geometry.

Geometry as CIF:
```
data_LiSm3Ru
_space_group_name_H-M_alt 'C m m 2'
_space_group_IT_number 35
_cell_length_a 10.437
_cell_length_b 15.026
_cell_length_c 3.947
_cell_angle_alpha 90.00
_cell_angle_beta 90.00
_cell_angle_gamma 90.00
loop_
_space_group_symop_operation_xyz
'x,y,z'
'-x,-y,z'
'-x,y,z'
'x,-y,z'
'x+1/2,y+1/2,z'
'-x+1/2,-y+1/2,z'
'-x+1/2,y+1/2,z'
'x+1/2,-y+1/2,z'
loop_
_atom_site_label
_atom_site_fract_x
_atom_site_fract_y
_atom_site_fract_z
Li1 0.000 0.000 0.000
Li2 0.000 0.500 0.499
Sm1 0.000 0.192 0.499
Sm2 0.194 0.371 0.999
Ru1 0.250 0.250 0.499
```

Properties
E_form in eV per atom: -0.038